# 1
The following is a DFT calculation (GGA-PBE) of crystalline Cs2NaInH6 at its relaxed geometry.

Values from the calculation:
For the calculated density, the calculation gives 3.93 g/cm3. The magnetic moment comes out at 0.0 μB per formula unit. As for the symmetry: Fm-3m (225). Its total energy is -2.7087 eV per atom.

a = 6.253 Å, b = 6.253 Å, c = 6.253 Å
α = 60.00°, β = 60.00°, γ = 60.00°
Fractional coordinates of all 10 atoms:
Cs: 0.250 0.250 0.250
Cs: 0.750 0.750 0.750
Na: 0.000 0.000 0.000
In: 0.500 0.500 0.500
H: 0.275 0.275 0.725
H: 0.275 0.725 0.275
H: 0.275 0.725 0.725
H: 0.725 0.275 0.275
H: 0.725 0.275 0.725
H: 0.725 0.725 0.275


# 2
The following is a DFT calculation (GGA-PBE) of crystalline Hf2HI at its relaxed geometry.

Values from the calculation:
For the calculated density, the calculation gives 10.70 g/cm3. The magnetic moment comes out at 0.0 μB per formula unit. As for the symmetry: Fm-3m (225). The energy above the lowest structure with this stoichiometry comes out at 430 meV per atom.

a = 6.703 Å, b = 6.703 Å, c = 6.703 Å
α = 90.00°, β = 90.00°, γ = 90.00°
Fractional coordinates of all 16 atoms:
Hf: 0.250 0.250 0.250
Hf: 0.250 0.250 0.750
Hf: 0.250 0.750 0.250
Hf: 0.250 0.750 0.750
Hf: 0.750 0.250 0.250
Hf: 0.750 0.250 0.750
Hf: 0.750 0.750 0.250
Hf: 0.750 0.750 0.750
H: 0.000 0.000 0.000
H: 0.000 0.500 0.500
H: 0.500 0.000 0.500
H: 0.500 0.500 0.000
I: 0.000 0.000 0.500
I: 0.000 0.500 0.000
I: 0.500 0.000 0.000
I: 0.500 0.500 0.500


# 3
The following is a DFT calculation (GGA-PBE) of crystalline Ba2N2Cl3 at its relaxed geometry.

Values from the calculation:
For the calculated density, the calculation gives 3.50 g/cm3. The magnetic moment comes out at 3.0 μB per formula unit. As for the symmetry: P1 (1). As for the formation energy without anion corrections: -0.68 eV/atom.

a = 4.612 Å, b = 5.723 Å, c = 7.674 Å
α = 75.76°, β = 83.19°, γ = 82.56°
Fractional coordinates of all 7 atoms:
Ba: 0.000 0.000 0.000
Ba: 0.474 0.341 0.488
N: 0.541 0.953 0.797
N: 0.933 0.408 0.693
Cl: 0.009 0.437 0.185
Cl: 0.465 0.904 0.305
Cl: 0.743 0.670 0.743


# 4
The following is a DFT calculation (GGA-PBE) of crystalline Ta2CuSb at its relaxed geometry.

Values from the calculation:
For the calculated density, the calculation gives 12.84 g/cm3. The magnetic moment comes out at 0.0 μB per formula unit. As for the symmetry: Pm (6). As for the formation energy without anion corrections: 0.15 eV/atom.

a = 3.005 Å, b = 4.328 Å, c = 5.569 Å
α = 90.00°, β = 102.38°, γ = 90.00°
Fractional coordinates of all 4 atoms:
Ta: 0.000 0.000 0.000
Ta: 0.265 0.500 0.713
Cu: 0.594 0.500 0.200
Sb: 0.678 0.000 0.473


# 5
The following is a DFT calculation (GGA-PBE) of crystalline Pa2Cu2Ge3 at its relaxed geometry.

Values from the calculation:
For the calculated density, the calculation gives 10.27 g/cm3. The magnetic moment comes out at 0.0 μB per formula unit. As for the symmetry: Cmcm (63). The energy above the lowest structure with this stoichiometry comes out at 0 meV per atom.

a = 9.468 Å, b = 9.468 Å, c = 6.579 Å
α = 90.00°, β = 90.00°, γ = 153.73°
Fractional coordinates of all 14 atoms:
Pa: 0.047 0.953 0.750
Pa: 0.158 0.842 0.250
Pa: 0.842 0.158 0.750
Pa: 0.953 0.047 0.250
Cu: 0.308 0.692 0.059
Cu: 0.308 0.692 0.441
Cu: 0.692 0.308 0.559
Cu: 0.692 0.308 0.941
Ge: 0.217 0.783 0.750
Ge: 0.433 0.567 0.556
Ge: 0.433 0.567 0.944
Ge: 0.567 0.433 0.056
Ge: 0.567 0.433 0.444
Ge: 0.783 0.217 0.250


# 6
The following is a DFT calculation (GGA-PBE) of crystalline ZrZn2SiRu at its relaxed geometry.

Values from the calculation:
For the calculated density, the calculation gives 6.04 g/cm3. The magnetic moment comes out at 0.0 μB per formula unit. As for the symmetry: P4/mmm (123). As for the formation energy without anion corrections: 0.70 eV/atom.

a = 4.384 Å, b = 4.384 Å, c = 5.023 Å
α = 90.00°, β = 90.00°, γ = 90.00°
Fractional coordinates of all 5 atoms:
Zr: 0.000 0.000 0.000
Zn: 0.000 0.500 0.500
Zn: 0.500 0.000 0.500
Si: 0.000 0.000 0.500
Ru: 0.500 0.500 0.000


# 7
The following is a DFT calculation (GGA-PBE) of crystalline Y3In2Au at its relaxed geometry.

Values from the calculation:
For the calculated density, the calculation gives 7.46 g/cm3. The magnetic moment comes out at 0.0 μB per formula unit. As for the symmetry: P4/mmm (123). Its total energy is -5.3165 eV per atom.

a = 3.571 Å, b = 3.571 Å, c = 12.097 Å
α = 90.00°, β = 90.00°, γ = 90.00°
Fractional coordinates of all 6 atoms:
Y: 0.000 0.000 0.000
Y: 0.000 0.000 0.351
Y: 0.000 0.000 0.649
In: 0.500 0.500 0.175
In: 0.500 0.500 0.825
Au: 0.500 0.500 0.500


# 8
The following is a DFT calculation (GGA-PBE) of crystalline AcMnSnPt3 at its relaxed geometry.

Values from the calculation:
For the calculated density, the calculation gives 11.16 g/cm3. The magnetic moment comes out at 4.3 μB per formula unit. As for the symmetry: Cmcm (63). Its total energy is -6.3764 eV per atom.

a = 8.890 Å, b = 8.890 Å, c = 5.931 Å
α = 90.00°, β = 90.00°, γ = 141.26°
Fractional coordinates of all 12 atoms:
Ac: 0.214 0.786 0.750
Ac: 0.786 0.214 0.250
Mn: 0.405 0.595 0.250
Mn: 0.595 0.405 0.750
Sn: 0.094 0.906 0.250
Sn: 0.906 0.094 0.750
Pt: 0.253 0.747 0.250
Pt: 0.262 0.262 0.000
Pt: 0.262 0.262 0.500
Pt: 0.738 0.738 0.000
Pt: 0.738 0.738 0.500
Pt: 0.747 0.253 0.750